Record 1
# BeAlZn2Se GGA-PBE relaxed
data_BeAlZn2Se
_symmetry_space_group_name_H-M 'P 1'
_symmetry_Int_Tables_number 1
_symmetry_space_group_name_Hall 'P 1'
_cell_length_a 4.372
_cell_length_b 4.372
_cell_length_c 4.635
_cell_angle_alpha 90.00
_cell_angle_beta 90.00
_cell_angle_gamma 90.00
loop_
_atom_site_label
_atom_site_type_symbol
_atom_site_fract_x
_atom_site_fract_y
_atom_site_fract_z
Be1 Be 0.000 0.000 0.000
Al1 Al 0.000 0.000 0.500
Zn1 Zn 0.000 0.500 0.000
Zn2 Zn 0.500 0.000 0.000
Se1 Se 0.500 0.500 0.500
# E ... -2.438 eV per atom
# Formation energy from raw total energies ... 1.311 eV/f.u.
# N(E_F) ... 3.99 states/eV/cell

***

Record 2
# La5Os GGA-PBE relaxed
data_La5Os
_symmetry_space_group_name_H-M 'P 1'
_symmetry_Int_Tables_number 1
_symmetry_space_group_name_Hall 'P 1'
_cell_length_a 5.913
_cell_length_b 8.794
_cell_length_c 8.794
_cell_angle_alpha 25.89
_cell_angle_beta 90.00
_cell_angle_gamma 90.00
loop_
_atom_site_label
_atom_site_type_symbol
_atom_site_fract_x
_atom_site_fract_y
_atom_site_fract_z
La1 La 0.000 0.000 0.000
La2 La 0.000 0.237 0.237
La3 La 0.500 0.151 0.151
La4 La 0.500 0.506 0.506
La5 La 0.500 0.829 0.829
Os1 Os 0.000 0.613 0.613
# E ... -5.891 eV per atom
# Energy of formation from the pure elements ... 0.52 eV/f.u.
# N(E_F) ... 7.89 states/eV/cell
# Relative energy among the computed polymorphs ... 88 meV/atom

***

Record 3
# SrYCu3 GGA-PBE relaxed
data_SrYCu3
_symmetry_space_group_name_H-M 'P 1'
_symmetry_Int_Tables_number 1
_symmetry_space_group_name_Hall 'P 1'
_cell_length_a 5.175
_cell_length_b 5.175
_cell_length_c 5.175
_cell_angle_alpha 90.00
_cell_angle_beta 90.00
_cell_angle_gamma 90.00
loop_
_atom_site_label
_atom_site_type_symbol
_atom_site_fract_x
_atom_site_fract_y
_atom_site_fract_z
Sr1 Sr 0.000 0.000 0.000
Y1 Y 0.500 0.500 0.500
Cu1 Cu 0.000 0.500 0.500
Cu2 Cu 0.500 0.000 0.500
Cu3 Cu 0.500 0.500 0.000
# E ... -3.625 eV per atom
# Energy of formation from the pure elements ... 2.31 eV/f.u.
# N(E_F) ... 2.62 states/eV/cell
# Relative energy among the computed polymorphs ... 0 meV/atom

***

Record 4
# SrLiCdPd2 GGA-PBE relaxed
data_SrLiCdPd2
_symmetry_space_group_name_H-M 'P 1'
_symmetry_Int_Tables_number 1
_symmetry_space_group_name_Hall 'P 1'
_cell_length_a 6.797
_cell_length_b 6.797
_cell_length_c 6.797
_cell_angle_alpha 143.57
_cell_angle_beta 143.57
_cell_angle_gamma 52.47
loop_
_atom_site_label
_atom_site_type_symbol
_atom_site_fract_x
_atom_site_fract_y
_atom_site_fract_z
Sr1 Sr 0.000 0.000 0.000
Li1 Li 0.750 0.250 0.500
Cd1 Cd 0.250 0.750 0.500
Pd1 Pd 0.391 0.391 0.000
Pd2 Pd 0.609 0.609 0.000
# E ... -3.473 eV per atom
# Energy of formation from the pure elements ... -2.47 eV/f.u.
# N(E_F) ... 2.18 states/eV/cell

***

Record 5
# Rb3Ca2HfTe6 GGA-PBE relaxed
data_Rb3Ca2HfTe6
_symmetry_space_group_name_H-M 'P 1'
_symmetry_Int_Tables_number 1
_symmetry_space_group_name_Hall 'P 1'
_cell_length_a 7.796
_cell_length_b 7.796
_cell_length_c 8.968
_cell_angle_alpha 98.36
_cell_angle_beta 98.36
_cell_angle_gamma 119.95
loop_
_atom_site_label
_atom_site_type_symbol
_atom_site_fract_x
_atom_site_fract_y
_atom_site_fract_z
Rb1 Rb 0.000 0.000 0.000
Rb2 Rb 0.327 0.673 0.000
Rb3 Rb 0.673 0.327 0.000
Ca1 Ca 0.166 0.834 0.500
Ca2 Ca 0.834 0.166 0.500
Hf1 Hf 0.500 0.500 0.500
Te1 Te 0.126 0.435 0.304
Te2 Te 0.260 0.260 0.699
Te3 Te 0.435 0.126 0.304
Te4 Te 0.565 0.874 0.696
Te5 Te 0.740 0.740 0.301
Te6 Te 0.874 0.565 0.696
# E ... -4.114 eV per atom
# Formation energy from raw total energies ... -13.654 eV/f.u.
# N(E_F) ... 8.67 states/eV/cell

***

Record 6
# Zr2TaV2 GGA-PBE relaxed
data_Zr2TaV2
_symmetry_space_group_name_H-M 'P 1'
_symmetry_Int_Tables_number 1
_symmetry_space_group_name_Hall 'P 1'
_cell_length_a 7.081
_cell_length_b 7.081
_cell_length_c 3.730
_cell_angle_alpha 90.00
_cell_angle_beta 90.00
_cell_angle_gamma 90.00
loop_
_atom_site_label
_atom_site_type_symbol
_atom_site_fract_x
_atom_site_fract_y
_atom_site_fract_z
Zr1 Zr 0.172 0.328 0.000
Zr2 Zr 0.328 0.828 0.000
Zr3 Zr 0.672 0.172 0.000
Zr4 Zr 0.828 0.672 0.000
Ta1 Ta 0.000 0.000 0.500
Ta2 Ta 0.500 0.500 0.500
V1 V 0.129 0.629 0.500
V2 V 0.371 0.129 0.500
V3 V 0.629 0.871 0.500
V4 V 0.871 0.371 0.500
# E ... -9.166 eV per atom
# Energy of formation from the pure elements ... 1.36 eV/f.u.
# N(E_F) ... 15.37 states/eV/cell
# Relative energy among the computed polymorphs ... 0 meV/atom

***

Record 7
# K2TaHg GGA-PBE relaxed
data_K2TaHg
_symmetry_space_group_name_H-M 'P 1'
_symmetry_Int_Tables_number 1
_symmetry_space_group_name_Hall 'P 1'
_cell_length_a 8.607
_cell_length_b 8.607
_cell_length_c 8.607
_cell_angle_alpha 95.75
_cell_angle_beta 95.75
_cell_angle_gamma 143.08
loop_
_atom_site_label
_atom_site_type_symbol
_atom_site_fract_x
_atom_site_fract_y
_atom_site_fract_z
K1 K 0.005 0.625 0.880
K2 K 0.375 0.255 0.380
K3 K 0.745 0.125 0.120
K4 K 0.875 0.995 0.620
Ta1 Ta 0.250 0.750 0.500
Ta2 Ta 0.500 0.500 0.000
Hg1 Hg 0.000 0.000 0.000
Hg2 Hg 0.750 0.250 0.500
# E ... -2.390 eV per atom
# Energy of formation from the pure elements ... 4.79 eV/f.u.
# N(E_F) ... 12.85 states/eV/cell

***

Record 8
# TaCd2GaSn GGA-PBE relaxed
data_TaCd2GaSn
_symmetry_space_group_name_H-M 'P 1'
_symmetry_Int_Tables_number 1
_symmetry_space_group_name_Hall 'P 1'
_cell_length_a 5.481
_cell_length_b 5.481
_cell_length_c 5.350
_cell_angle_alpha 90.00
_cell_angle_beta 90.00
_cell_angle_gamma 90.00
loop_
_atom_site_label
_atom_site_type_symbol
_atom_site_fract_x
_atom_site_fract_y
_atom_site_fract_z
Ta1 Ta 0.000 0.000 0.000
Cd1 Cd 0.000 0.500 0.000
Cd2 Cd 0.500 0.000 0.000
Ga1 Ga 0.500 0.500 0.500
Sn1 Sn 0.000 0.000 0.500
# E ... -3.330 eV per atom
# Energy of formation from the pure elements ... 4.07 eV/f.u.
# N(E_F) ... 4.03 states/eV/cell

***

Record 9
# Ac2SmIn12Ni3 GGA-PBE relaxed
data_Ac2SmIn12Ni3
_symmetry_space_group_name_H-M 'P 1'
_symmetry_Int_Tables_number 1
_symmetry_space_group_name_Hall 'P 1'
_cell_length_a 8.685
_cell_length_b 8.685
_cell_length_c 8.685
_cell_angle_alpha 64.93
_cell_angle_beta 64.93
_cell_angle_gamma 64.93
loop_
_atom_site_label
_atom_site_type_symbol
_atom_site_fract_x
_atom_site_fract_y
_atom_site_fract_z
Ac1 Ac 0.085 0.085 0.085
Ac2 Ac 0.915 0.915 0.915
Sm1 Sm 0.500 0.500 0.500
In1 In 0.047 0.658 0.658
In2 In 0.223 0.223 0.611
In3 In 0.223 0.611 0.223
In4 In 0.342 0.342 0.953
In5 In 0.342 0.953 0.342
In6 In 0.389 0.777 0.777
In7 In 0.611 0.223 0.223
In8 In 0.658 0.047 0.658
In9 In 0.658 0.658 0.047
In10 In 0.777 0.389 0.777
In11 In 0.777 0.777 0.389
In12 In 0.953 0.342 0.342
Ni1 Ni 0.000 0.500 0.500
Ni2 Ni 0.500 0.000 0.500
Ni3 Ni 0.500 0.500 0.000
# E ... -3.553 eV per atom
# Energy of formation from the pure elements ... -0.82 eV/f.u.
# N(E_F) ... 11.76 states/eV/cell

***

Record 10
# Sr2BeGe3 GGA-PBE relaxed
data_Sr2BeGe3
_symmetry_space_group_name_H-M 'P 1'
_symmetry_Int_Tables_number 1
_symmetry_space_group_name_Hall 'P 1'
_cell_length_a 8.583
_cell_length_b 8.301
_cell_length_c 6.269
_cell_angle_alpha 70.62
_cell_angle_beta 65.83
_cell_angle_gamma 43.55
loop_
_atom_site_label
_atom_site_type_symbol
_atom_site_fract_x
_atom_site_fract_y
_atom_site_fract_z
Sr1 Sr 0.237 0.763 0.237
Sr2 Sr 0.250 0.250 0.250
Sr3 Sr 0.750 0.750 0.750
Sr4 Sr 0.763 0.237 0.763
Be1 Be 0.333 0.333 0.667
Be2 Be 0.667 0.667 0.333
Ge1 Ge 0.175 0.175 0.825
Ge2 Ge 0.180 0.644 0.820
Ge3 Ge 0.356 0.820 0.644
Ge4 Ge 0.644 0.180 0.356
Ge5 Ge 0.820 0.356 0.180
Ge6 Ge 0.825 0.825 0.175
# E ... -3.952 eV per atom
# Energy of formation from the pure elements ... -2.77 eV/f.u.
# N(E_F) ... 4.14 states/eV/cell
# Relative energy among the computed polymorphs ... 0 meV/atom

***

Record 11
# PmSm12Y3 GGA-PBE relaxed
data_PmSm12Y3
_symmetry_space_group_name_H-M 'P 1'
_symmetry_Int_Tables_number 1
_symmetry_space_group_name_Hall 'P 1'
_cell_length_a 5.119
_cell_length_b 5.119
_cell_length_c 20.450
_cell_angle_alpha 90.00
_cell_angle_beta 90.00
_cell_angle_gamma 90.00
loop_
_atom_site_label
_atom_site_type_symbol
_atom_site_fract_x
_atom_site_fract_y
_atom_site_fract_z
Pm1 Pm 0.000 0.000 0.000
Sm1 Sm 0.000 0.500 0.126
Sm2 Sm 0.000 0.500 0.375
Sm3 Sm 0.000 0.500 0.625
Sm4 Sm 0.000 0.500 0.874
Sm5 Sm 0.500 0.000 0.126
Sm6 Sm 0.500 0.000 0.375
Sm7 Sm 0.500 0.000 0.625
Sm8 Sm 0.500 0.000 0.874
Sm9 Sm 0.500 0.500 0.000
Sm10 Sm 0.500 0.500 0.251
Sm11 Sm 0.500 0.500 0.500
Sm12 Sm 0.500 0.500 0.749
Y1 Y 0.000 0.000 0.251
Y2 Y 0.000 0.000 0.500
Y3 Y 0.000 0.000 0.749
# E ... -5.032 eV per atom
# Energy of formation from the pure elements ... 0.25 eV/f.u.
# N(E_F) ... 23.71 states/eV/cell

***

Record 12
# KNaCuSn2 GGA-PBE relaxed
data_KNaCuSn2
_symmetry_space_group_name_H-M 'P 1'
_symmetry_Int_Tables_number 1
_symmetry_space_group_name_Hall 'P 1'
_cell_length_a 5.151
_cell_length_b 5.151
_cell_length_c 5.578
_cell_angle_alpha 90.00
_cell_angle_beta 90.00
_cell_angle_gamma 90.00
loop_
_atom_site_label
_atom_site_type_symbol
_atom_site_fract_x
_atom_site_fract_y
_atom_site_fract_z
K1 K 0.000 0.000 0.000
Na1 Na 0.500 0.500 0.000
Cu1 Cu 0.500 0.500 0.500
Sn1 Sn 0.000 0.500 0.500
Sn2 Sn 0.500 0.000 0.500
# E ... -2.916 eV per atom
# Energy of formation from the pure elements ... -0.06 eV/f.u.
# N(E_F) ... 0.89 states/eV/cell
# Relative energy among the computed polymorphs ... 0 meV/atom

***

Record 13
# Li2SmHo GGA-PBE relaxed
data_Li2SmHo
_symmetry_space_group_name_H-M 'P 1'
_symmetry_Int_Tables_number 1
_symmetry_space_group_name_Hall 'P 1'
_cell_length_a 5.287
_cell_length_b 5.287
_cell_length_c 5.287
_cell_angle_alpha 60.00
_cell_angle_beta 60.00
_cell_angle_gamma 60.00
loop_
_atom_site_label
_atom_site_type_symbol
_atom_site_fract_x
_atom_site_fract_y
_atom_site_fract_z
Li1 Li 0.250 0.250 0.250
Li2 Li 0.750 0.750 0.750
Sm1 Sm 0.000 0.000 0.000
Ho1 Ho 0.500 0.500 0.500
# E ... -3.125 eV per atom
# Energy of formation from the pure elements ... 0.63 eV/f.u.
# N(E_F) ... 4.85 states/eV/cell
# Relative energy among the computed polymorphs ... 3 meV/atom

***

Record 14
# CeTlAuBr6 GGA-PBE relaxed
data_CeTlAuBr6
_symmetry_space_group_name_H-M 'P 1'
_symmetry_Int_Tables_number 1
_symmetry_space_group_name_Hall 'P 1'
_cell_length_a 7.193
_cell_length_b 7.193
_cell_length_c 15.022
_cell_angle_alpha 90.00
_cell_angle_beta 90.00
_cell_angle_gamma 120.00
loop_
_atom_site_label
_atom_site_type_symbol
_atom_site_fract_x
_atom_site_fract_y
_atom_site_fract_z
Ce1 Ce 0.333 0.667 0.250
Ce2 Ce 0.667 0.333 0.750
Tl1 Tl 0.000 0.000 0.000
Tl2 Tl 0.000 0.000 0.500
Au1 Au 0.333 0.667 0.750
Au2 Au 0.667 0.333 0.250
Br1 Br 0.004 0.361 0.139
Br2 Br 0.004 0.643 0.361
Br3 Br 0.357 0.361 0.361
Br4 Br 0.357 0.996 0.139
Br5 Br 0.361 0.004 0.639
Br6 Br 0.361 0.357 0.861
Br7 Br 0.639 0.643 0.139
Br8 Br 0.639 0.996 0.361
Br9 Br 0.643 0.004 0.861
Br10 Br 0.643 0.639 0.639
Br11 Br 0.996 0.357 0.639
Br12 Br 0.996 0.639 0.861
# E ... -3.437 eV per atom
# Formation energy from raw total energies ... -9.316 eV/f.u.
# N(E_F) ... 8.52 states/eV/cell